A PBEsol-optimized structure of K2TaTl, computed with meta-GGA SCAN.

Summary:
Formation energy = 2.8 eV per formula unit
Volume = 143.16 Å³ per cell
Polymorph energy (0 for the lowest one) = 0.0 meV per atom

abc: 3.1110 4.4652 10.3059
angles: 90.00 90.00 90.00
Closest atoms and distances in Å follow each position.
Space group Pmm2 (No. 25)
One atom of each set of equivalent atoms:
1 K 0.0000 0.0000 0.0000 (multiplicity 1)  2 K 3.11
2 K 0.5000 0.5000 0.3954 (multiplicity 1)  2 K 3.11
3 Ta 0.0000 0.0000 0.6598 (multiplicity 1)  4 Tl 2.87, 2 Ta 3.11
4 Tl 0.5000 0.5000 0.7472 (multiplicity 1)  4 Ta 2.87, 2 Tl 3.11


A PBEsol-optimized structure of MnOsAu2, computed with meta-GGA SCAN.

Summary:
Formation energy = 0.6 eV per formula unit
Volume = 122.18 Å³ per cell
Polymorph energy (0 for the lowest one) = 29.2 meV per atom

abc: 5.5946 7.9077 2.7617
angles: 90.00 90.00 90.00
Closest atoms and distances in Å follow each position.
Space group Cmmm (No. 65)
One atom of each set of equivalent atoms:
1 Mn 0.0000 0.0000 0.0000 (multiplicity 2)  2 Mn 2.76, 8 Au 2.79, 2 Os 2.80
2 Os 0.0000 0.5000 0.0000 (multiplicity 2)  2 Os 2.76, 8 Au 2.79, 2 Mn 2.80
3 Au 0.2500 0.2500 0.5000 (multiplicity 4)  4 Au 2.76-2.80, 4 Mn 2.79, 4 Os 2.79


A PBEsol-optimized structure of SrYCu, computed with meta-GGA SCAN.

Summary:
Formation energy = -0.1 eV per formula unit
Volume = 167.61 Å³ per cell
Polymorph energy (0 for the lowest one) = 0.0 meV per atom

abc: 3.5772 3.5772 13.0986
angles: 90.00 90.00 90.00
Closest atoms and distances in Å follow each position.
Space group I4mm (No. 107)
One atom of each set of equivalent atoms:
1 Sr 0.0000 0.0000 0.0000 (multiplicity 2)  4 Cu 3.28, 1 Y 3.46, 4 Sr 3.58
2 Y 0.0000 0.0000 0.7359 (multiplicity 2)  4 Cu 2.87
3 Cu 0.0000 0.0000 0.3402 (multiplicity 2)  4 Y 2.87


| no. | M_tot (μB/atom) |
| --- | --- |
| 1 | 0.232 |
| 2 | 1.131 |
| 3 | 0.000 |